[1]
18
Lattice="9.2194 -5.3261 0.0000 9.2194 5.3261 0.0000 -2.0336 0.0000 5.8014" Properties=species:S:1:pos:R:3 comment="PBE CaDy12Ho5, relaxed" space_group=C2/m formation_enthalpy_0k_kcal_per_mol_atoms=0.88 e_tot_ev_per_atom=-4.413 dos_at_fermi_per_ev_fu=23.9 pbc="T T T"
Ca 0.0000 0.0000 0.0000
Dy 3.1192 1.7965 0.0049
Dy 5.1329 1.7785 2.9087
Dy 8.2026 3.4951 2.9007
Dy 3.1192 -1.7965 0.0049
Dy 9.2194 1.7226 0.0000
Dy 11.2723 1.7785 2.8927
Dy 5.1329 -1.7785 2.9087
Dy 9.2194 -1.7226 0.0000
Dy 13.2860 1.7965 5.7965
Dy 8.2026 -3.4951 2.9007
Dy 11.2723 -1.7785 2.8927
Dy 13.2860 -1.7965 5.7965
Ho 2.0778 0.0000 2.9598
Ho 6.1358 0.0000 0.0218
Ho 8.2026 0.0000 2.9007
Ho 10.2694 0.0000 5.7796
Ho 14.3274 0.0000 2.8416

---

[2]
4
Lattice="0.0000 4.0444 4.0444 4.0444 0.0000 4.0444 4.0444 4.0444 0.0000" Properties=species:S:1:pos:R:3 comment="PBE CaDyHo2, relaxed" space_group=Fm-3m formation_enthalpy_0k_kcal_per_mol_atoms=4.20 e_tot_ev_per_atom=-3.758 dos_at_fermi_per_ev_fu=8.3 pbc="T T T"
Ca 0.0000 0.0000 0.0000
Dy 4.0444 4.0444 4.0444
Ho 2.0222 2.0222 2.0222
Ho 6.0665 6.0665 6.0665

---

[3]
8
Lattice="11.9566 -1.7367 0.0000 11.9566 1.7367 0.0000 -0.4536 0.0000 6.3890" Properties=species:S:1:pos:R:3 comment="PBE CaDyHo2, relaxed" space_group=C2/m formation_enthalpy_0k_kcal_per_mol_atoms=2.92 e_tot_ev_per_atom=-3.813 dos_at_fermi_per_ev_fu=5.8 pbc="T T T"
Ca -0.0807 0.0000 1.5926
Ca 23.5404 0.0000 4.7964
Dy 5.8261 0.0000 1.5858
Dy 17.6335 0.0000 4.8032
Ho 2.9963 0.0000 3.4912
Ho 8.4680 0.0000 6.1456
Ho 14.9916 0.0000 0.2433
Ho 20.4633 0.0000 2.8978

---

[4]
4
Lattice="1.7882 1.0324 11.9764 -1.7882 1.0324 11.9764 0.0000 -2.0648 11.9764" Properties=species:S:1:pos:R:3 comment="PBE CaDyHo2, relaxed" space_group=R3m formation_enthalpy_0k_kcal_per_mol_atoms=1.51 e_tot_ev_per_atom=-3.875 dos_at_fermi_per_ev_fu=5.5 pbc="T T T"
Ca 0.0000 0.0000 0.0000
Dy 0.0000 0.0000 29.9748
Ho 0.0000 0.0000 8.8254
Ho 0.0000 0.0000 15.1719

---

[5]
14
Lattice="-4.7923 4.7923 5.0616 4.7923 -4.7923 5.0616 4.7923 4.7923 -5.0616" Properties=species:S:1:pos:R:3 comment="PBE CaDy8Ho5, relaxed" space_group=I-4 formation_enthalpy_0k_kcal_per_mol_atoms=5.64 e_tot_ev_per_atom=-4.163 dos_at_fermi_per_ev_fu=21.2 pbc="T T T"
Ca 0.0000 0.0000 0.0000
Dy 6.4089 0.8835 -0.0256
Dy 4.1096 3.1093 -1.5183
Dy 0.8835 3.1757 0.0256
Dy 0.6826 1.6829 3.5433
Dy 1.6829 -0.6826 6.5799
Dy 3.9088 1.6166 5.0872
Dy 3.1093 5.4749 1.5183
Dy -1.6166 3.9088 5.0360
Ho 2.8013 -1.0674 3.2864
Ho 3.7248 1.9909 1.7752
Ho 1.9909 5.8597 -1.7752
Ho 0.0000 4.7923 2.5308
Ho 1.0674 2.8013 6.8368

---

[6]
10
Lattice="6.1649 0.0000 0.0000 -1.0344 6.0801 0.0000 -2.0149 -3.4655 8.5353" Properties=species:S:1:pos:R:3 comment="PBE CaDy7Ho2, relaxed" space_group=P-1 formation_enthalpy_0k_kcal_per_mol_atoms=1.26 e_tot_ev_per_atom=-4.283 dos_at_fermi_per_ev_fu=14.2 pbc="T T T"
Ca 0.0000 0.0000 0.0000
Dy -1.0020 -1.1700 5.9466
Dy 0.0208 1.0642 3.4595
Dy 1.0948 3.3217 0.8839
Dy 2.0750 -1.7327 4.2676
Dy 2.0208 -0.7071 7.6514
Dy 3.0949 1.5504 5.0757
Dy 4.1177 3.7847 2.5887
Ho 0.0143 2.0758 6.7787
Ho 3.1013 0.5389 1.7566

---

[7]
4
Lattice="5.0461 0.0000 0.0000 0.0000 5.0461 0.0000 0.0000 0.0000 5.5304" Properties=species:S:1:pos:R:3 comment="PBE Ca2DyHo, relaxed" space_group=P4/mmm formation_enthalpy_0k_kcal_per_mol_atoms=4.35 e_tot_ev_per_atom=-3.107 dos_at_fermi_per_ev_fu=8.0 pbc="T T T"
Ca 0.0000 2.5231 0.0000
Ca 2.5231 0.0000 0.0000
Dy 0.0000 0.0000 2.7652
Ho 2.5231 2.5231 2.7652

---

[8]
10
Lattice="3.5556 0.0000 0.0000 0.0000 3.5556 0.0000 0.0000 0.0000 25.3554" Properties=species:S:1:pos:R:3 comment="PBE CaDy4Ho5, relaxed" space_group=P4/mmm formation_enthalpy_0k_kcal_per_mol_atoms=0.94 e_tot_ev_per_atom=-4.289 dos_at_fermi_per_ev_fu=13.7 pbc="T T T"
Ca 0.0000 0.0000 0.0000
Dy 0.0000 0.0000 5.1992
Dy 0.0000 0.0000 10.1873
Dy 0.0000 0.0000 15.1682
Dy 0.0000 0.0000 20.1562
Ho 1.7778 1.7778 2.8107
Ho 1.7778 1.7778 7.7162
Ho 1.7778 1.7778 12.6777
Ho 1.7778 1.7778 17.6392
Ho 1.7778 1.7778 22.5447

---

[9]
5
Lattice="2.7434 -8.6088 0.0000 2.7434 8.6088 0.0000 0.0000 0.0000 3.5295" Properties=species:S:1:pos:R:3 comment="PBE CaDy2Ho2, relaxed" space_group=Cmmm formation_enthalpy_0k_kcal_per_mol_atoms=1.57 e_tot_ev_per_atom=-4.004 dos_at_fermi_per_ev_fu=8.6 pbc="T T T"
Ca 0.0000 0.0000 0.0000
Dy 2.7434 2.0698 1.7647
Dy 2.7434 -2.0698 1.7647
Ho 2.7434 5.1423 0.0000
Ho 2.7434 -5.1423 0.0000

---

[10]
6
Lattice="0.0000 4.6846 4.6846 4.6846 0.0000 4.6846 4.6846 4.6846 0.0000" Properties=species:S:1:pos:R:3 comment="PBE CaDy4Ho, relaxed" space_group=F-43m formation_enthalpy_0k_kcal_per_mol_atoms=5.06 e_tot_ev_per_atom=-3.945 dos_at_fermi_per_ev_fu=8.3 pbc="T T T"
Ca 0.0000 0.0000 0.0000
Dy 3.5281 3.5281 3.5281
Dy 5.8410 5.8410 3.5281
Dy 5.8410 3.5281 5.8410
Dy 3.5281 5.8410 5.8410
Ho 7.0269 7.0269 7.0269

---

[11]
4
Lattice="1.7826 1.0292 13.0603 -1.7826 1.0292 13.0603 0.0000 -2.0584 13.0603" Properties=species:S:1:pos:R:3 comment="PBE Ca2DyHo, relaxed" space_group=R-3m formation_enthalpy_0k_kcal_per_mol_atoms=6.16 e_tot_ev_per_atom=-3.028 dos_at_fermi_per_ev_fu=7.4 pbc="T T T"
Ca 0.0000 0.0000 3.4570
Ca 0.0000 0.0000 35.7238
Dy 0.0000 0.0000 0.0000
Ho 0.0000 0.0000 19.5904

---

[12]
4
Lattice="0.0000 3.8760 3.8760 3.8760 0.0000 3.8760 3.8760 3.8760 0.0000" Properties=species:S:1:pos:R:3 comment="PBE CaDyHoIn, relaxed" space_group=F-43m formation_enthalpy_0k_kcal_per_mol_atoms=-2.95 e_tot_ev_per_atom=-3.608 dos_at_fermi_per_ev_fu=3.5 pbc="T T T"
Ca 0.0000 0.0000 0.0000
Dy 5.8140 5.8140 5.8140
Ho 1.9380 1.9380 1.9380
In 3.8760 3.8760 3.8760

---

[13]
4
Lattice="0.0000 4.0260 4.0260 4.0260 0.0000 4.0260 4.0260 4.0260 0.0000" Properties=species:S:1:pos:R:3 comment="PBE CaDyHoLu, relaxed" space_group=F-43m formation_enthalpy_0k_kcal_per_mol_atoms=3.88 e_tot_ev_per_atom=-3.757 dos_at_fermi_per_ev_fu=7.3 pbc="T T T"
Ca 0.0000 0.0000 0.0000
Dy 6.0390 6.0390 6.0390
Ho 2.0130 2.0130 2.0130
Lu 4.0260 4.0260 4.0260

---

[14]
4
Lattice="0.0000 3.9341 3.9341 3.9341 0.0000 3.9341 3.9341 3.9341 0.0000" Properties=species:S:1:pos:R:3 comment="PBE CaDyHoMg, relaxed" space_group=F-43m formation_enthalpy_0k_kcal_per_mol_atoms=2.11 e_tot_ev_per_atom=-3.103 dos_at_fermi_per_ev_fu=3.8 pbc="T T T"
Ca 0.0000 0.0000 0.0000
Dy 5.9012 5.9012 5.9012
Ho 1.9671 1.9671 1.9671
Mg 3.9341 3.9341 3.9341

---

[15]
20
Lattice="4.6112 -7.7498 0.0000 4.6112 7.7498 0.0000 -1.4887 0.0000 9.7771" Properties=species:S:1:pos:R:3 comment="PBE CaNd6DyHo2, relaxed" space_group=C2/c formation_enthalpy_0k_kcal_per_mol_atoms=3.09 e_tot_ev_per_atom=-4.303 dos_at_fermi_per_ev_fu=15.3 pbc="T T T"
Ca 3.4947 6.2248 7.3329
Ca 4.2390 -6.2248 2.4443
Nd 3.0829 6.1161 3.6878
Nd 2.4812 3.5585 1.7326
Nd 5.3951 6.1161 1.2008
Nd 3.2212 2.7081 5.3979
Nd 3.7682 2.7081 9.2678
Nd 5.9968 3.5585 3.1560
Nd 1.7368 -3.5585 6.6212
Nd 3.9655 -2.7081 0.5093
Nd 4.5125 -2.7081 4.3792
Nd 2.3386 -6.1161 8.5764
Nd 5.2525 -3.5585 8.0445
Nd 4.6508 -6.1161 6.0893
Dy 4.2390 0.4146 2.4443
Dy 3.4947 -0.4146 7.3329
Ho 0.9101 0.7715 9.3516
Ho 1.6544 -0.7715 4.4630
Ho 6.0793 0.7715 5.3141
Ho 6.8236 -0.7715 0.4255

---

[16]
12
Lattice="3.1384 -5.4334 0.0000 3.1384 5.4334 0.0000 -2.0754 0.0000 11.6953" Properties=species:S:1:pos:R:3 comment="PBE CaPm6Dy2Ho3, relaxed" space_group=C2/m formation_enthalpy_0k_kcal_per_mol_atoms=0.80 e_tot_ev_per_atom=-4.419 dos_at_fermi_per_ev_fu=13.6 pbc="T T T"
Ca 0.0000 0.0000 0.0000
Pm 1.0770 1.8480 2.9644
Pm 0.0500 0.0000 8.7222
Pm 1.0770 -1.8480 2.9644
Pm 3.1243 1.8480 8.7309
Pm 4.1513 0.0000 2.9731
Pm 3.1243 -1.8480 8.7309
Dy 3.1384 1.8121 0.0000
Dy 3.1384 -1.8121 0.0000
Ho 2.1007 3.6256 5.8477
Ho 2.1007 0.0000 5.8477
Ho 2.1007 -3.6256 5.8477

---

[17]
12
Lattice="3.1396 -5.4358 0.0000 3.1396 5.4358 0.0000 -2.0771 0.0000 11.6988" Properties=species:S:1:pos:R:3 comment="PBE CaPm6Dy3Ho2, relaxed" space_group=C2/m formation_enthalpy_0k_kcal_per_mol_atoms=0.81 e_tot_ev_per_atom=-4.420 dos_at_fermi_per_ev_fu=13.8 pbc="T T T"
Ca 0.0000 0.0000 0.0000
Pm 1.0786 1.8505 2.9546
Pm 0.0511 0.0000 8.7360
Pm 1.0786 -1.8505 2.9546
Pm 3.1235 1.8505 8.7442
Pm 4.1510 0.0000 2.9628
Pm 3.1235 -1.8505 8.7442
Dy 2.1011 3.6266 5.8494
Dy 2.1011 0.0000 5.8494
Dy 2.1011 -3.6266 5.8494
Ho 3.1396 1.8124 0.0000
Ho 3.1396 -1.8124 0.0000

---

[18]
4
Lattice="0.0000 4.0806 4.0806 4.0806 0.0000 4.0806 4.0806 4.0806 0.0000" Properties=species:S:1:pos:R:3 comment="PBE CaPmDyHo, relaxed" space_group=F-43m formation_enthalpy_0k_kcal_per_mol_atoms=3.40 e_tot_ev_per_atom=-3.836 dos_at_fermi_per_ev_fu=6.8 pbc="T T T"
Ca 0.0000 0.0000 0.0000
Pm 6.1209 6.1209 6.1209
Dy 2.0403 2.0403 2.0403
Ho 4.0806 4.0806 4.0806

---

[19]
20
Lattice="4.5787 -7.7193 0.0000 4.5787 7.7193 0.0000 -1.5083 0.0000 9.7475" Properties=species:S:1:pos:R:3 comment="PBE CaPm6Dy2Ho, relaxed" space_group=C2/c formation_enthalpy_0k_kcal_per_mol_atoms=3.14 e_tot_ev_per_atom=-4.292 dos_at_fermi_per_ev_fu=15.0 pbc="T T T"
Ca 3.4475 6.2008 7.3106
Ca 4.2016 -6.2008 2.4369
Pm 0.0352 1.6363 6.0807
Pm 2.4769 3.5359 1.7232
Pm 0.7894 -1.6363 1.2069
Pm 3.1896 2.7182 5.3798
Pm 3.7053 2.7182 9.2414
Pm 5.9263 3.5359 3.1505
Pm 1.7228 -3.5359 6.5970
Pm 3.9438 -2.7182 0.5061
Pm 4.4595 -2.7182 4.3677
Pm 6.8597 1.6363 8.5405
Pm 5.1722 -3.5359 8.0242
Pm 7.6139 -1.6363 3.6668
Dy 0.8617 0.7740 9.3317
Dy 1.6159 -0.7740 4.4580
Dy 6.0332 0.7740 5.2895
Dy 6.7874 -0.7740 0.4158
Ho 4.2016 0.3916 2.4369
Ho 3.4475 -0.3916 7.3106

---

[20]
8
Lattice="2.4145 1.3940 7.8942 -2.4145 1.3940 7.8942 0.0000 -2.7880 7.8942" Properties=species:S:1:pos:R:3 comment="PBE CaDy2HoRh4, relaxed" space_group=R-3m formation_enthalpy_0k_kcal_per_mol_atoms=-17.86 e_tot_ev_per_atom=-6.423 dos_at_fermi_per_ev_fu=3.0 pbc="T T T"
Ca 0.0000 0.0000 0.0000
Dy 0.0000 0.0000 5.9649
Dy 0.0000 0.0000 17.7177
Ho 0.0000 0.0000 11.8413
Rh 0.0000 0.0000 3.0243
Rh 0.0000 0.0000 8.9583
Rh 0.0000 0.0000 14.7244
Rh 0.0000 0.0000 20.6583